Record 1
A plane-wave DFT calculation with PBE was carried out for LiU2TiN5 after structural relaxation.

Lattice parameters (Å, degrees): 6.475 6.475 10.014 90.00 90.00 151.12
Fractional coordinates of all 18 atoms:
1 Li 0.028 0.972 0.500
2 Li 0.972 0.028 0.000
3 U 0.358 0.642 0.337
4 U 0.399 0.601 0.704
5 U 0.601 0.399 0.204
6 U 0.642 0.358 0.837
7 Ti 0.300 0.700 0.042
8 Ti 0.700 0.300 0.542
9 N 0.012 0.988 0.810
10 N 0.139 0.861 0.038
11 N 0.193 0.807 0.409
12 N 0.220 0.780 0.696
13 N 0.450 0.550 0.110
14 N 0.550 0.450 0.610
15 N 0.780 0.220 0.196
16 N 0.807 0.193 0.909
17 N 0.861 0.139 0.538
18 N 0.988 0.012 0.310

Properties
- Theoretical density: 9.8 g cm⁻³
- M_tot: 2.7 μB/cell
- E: -9.35 eV/atom

---

Record 2
A plane-wave DFT calculation with PBE was carried out for Li2TaAg after structural relaxation.

Lattice parameters (Å, degrees): 2.798 2.798 8.788 90.00 90.00 90.00
Fractional coordinates of all 4 atoms:
1 Li 0.000 0.000 0.000
2 Li 0.500 0.500 0.262
3 Ta 0.000 0.000 0.521
4 Ag 0.500 0.500 0.778

Properties
- Energy above the most stable polymorph in this dataset: 31 kJ/mol of formula units
- Theoretical density: 7.3 g cm⁻³
- M_tot: 0.0 μB/cell
- DFT formation energy: 86.3 kJ/mol of formula units

---

Record 3
A plane-wave DFT calculation with PBE was carried out for Nb2InSe after structural relaxation.

Lattice parameters (Å, degrees): 4.721 4.721 4.721 60.00 60.00 60.00
Fractional coordinates of all 4 atoms:
1 Nb 0.250 0.250 0.250
2 Nb 0.750 0.750 0.750
3 In 0.000 0.000 0.000
4 Se 0.500 0.500 0.500

Properties
- Energy above the most stable polymorph in this dataset: 0 kJ/mol of formula units
- Theoretical density: 8.5 g cm⁻³
- M_tot: 0.0 μB/cell

---

Record 4
A plane-wave DFT calculation with PBE was carried out for PrEr3Tl after structural relaxation.

Lattice parameters (Å, degrees): 7.975 7.975 6.117 90.00 90.00 120.00
Fractional coordinates of all 10 atoms:
1 Pr 0.333 0.667 0.250
2 Pr 0.667 0.333 0.750
3 Er 0.193 0.387 0.750
4 Er 0.193 0.807 0.750
5 Er 0.387 0.193 0.250
6 Er 0.613 0.807 0.750
7 Er 0.807 0.193 0.250
8 Er 0.807 0.613 0.250
9 Tl 0.000 0.000 0.000
10 Tl 0.000 0.000 0.500

Properties
- Energy above the most stable polymorph in this dataset: 106 kJ/mol of formula units
- Theoretical density: 8.3 g cm⁻³
- M_tot: 0.0 μB/cell
- DFT formation energy: 54.9 kJ/mol of formula units

---

- Look up the theoretical density of the third one.
  8.5 g cm⁻³

---

- theoretical density of number 1 (LiU2TiN5)?
  9.8 g cm⁻³